Record 1
{
  "formula": "Rb3GaNi",
  "functional": "PBE",
  "state": "relaxed",
  "density_g_cm3": 2.450,
  "de_polymorph_mev_per_atom": 0,
  "cell": [[6.389, 0.000, 0.000], [0.000, 6.389, 0.000], [0.000, 0.000, 6.389]],
  "species": ["Rb", "Ni", "Rb", "Ga", "Rb"],
  "fractional_positions": [[0.000, 0.000, 0.500], [0.000, 0.000, 0.000], [0.000, 0.500, 0.000], [0.500, 0.500, 0.500], [0.500, 0.000, 0.000]]
}

=====

Record 2
{
  "formula": "ScSb2Rh",
  "functional": "PBE",
  "state": "relaxed",
  "density_g_cm3": 7.973,
  "formation_energy_uncorrected_ev_per_atom": -0.371,
  "cell": [[3.307, 0.000, 0.000], [0.000, 3.306, 0.000], [0.000, 0.000, 7.455]],
  "species": ["Sb", "Sb", "Rh", "Sc"],
  "fractional_positions": [[0.000, 0.000, 0.524], [0.000, 0.000, 0.976], [0.500, 0.500, 0.750], [0.500, 0.500, 0.250]]
}

=====

Record 3
{
  "formula": "Tm6CdOs2",
  "functional": "PBE",
  "state": "relaxed",
  "density_g_cm3": 11.079,
  "energy_ev_per_atom": -5.87,
  "cell": [[-6.127, 5.360, 2.060], [-2.844, -7.731, -1.630], [5.447, -1.274, 6.263]],
  "species": ["Tm", "Tm", "Tm", "Tm", "Tm", "Cd", "Os", "Os", "Os", "Tm", "Os", "Tm", "Tm", "Tm", "Tm", "Cd", "Tm", "Tm"],
  "fractional_positions": [[0.684, 0.017, 0.332], [0.206, 0.756, 0.962], [0.316, 0.983, 0.668], [0.794, 0.756, 0.550], [0.316, 0.648, 0.332], [0.000, 0.500, 0.500], [0.500, 0.376, 0.876], [0.678, 0.000, 0.678], [0.500, 0.624, 0.124], [0.684, 0.352, 0.668], [0.322, 0.000, 0.322], [0.532, 0.716, 0.816], [0.100, 0.284, 0.816], [0.900, 0.716, 0.184], [0.468, 0.284, 0.184], [0.000, 0.000, 0.000], [0.794, 0.244, 0.038], [0.206, 0.244, 0.450]]
}

=====

Record 4
{
  "formula": "Pr2SbAu3",
  "functional": "PBE",
  "state": "relaxed",
  "density_g_cm3": 11.023,
  "formation_energy_uncorrected_ev_per_atom": -0.824,
  "de_polymorph_mev_per_atom": 0,
  "cell": [[-1.563, -0.051, -5.908], [-5.118, -1.608, 2.928], [1.134, 8.791, 2.006]],
  "species": ["Au", "Pr", "Sb", "Au", "Au", "Pr", "Au", "Au", "Sb", "Pr", "Pr", "Au"],
  "fractional_positions": [[0.333, 0.833, 0.167], [0.250, 0.750, 0.500], [0.335, 0.335, 0.670], [0.835, 0.835, 0.669], [0.167, 0.667, 0.833], [0.763, 0.763, 0.000], [0.667, 0.167, 0.833], [0.833, 0.333, 0.167], [0.665, 0.665, 0.330], [0.237, 0.237, 0.000], [0.750, 0.250, 0.500], [0.165, 0.165, 0.331]]
}